No. 1
# GaNiHIr2 (PBE-GGA, relaxed)
data_GaNiHIr2
_symmetry_space_group_name_H-M 'P 1'
_symmetry_Int_Tables_number 1
_symmetry_space_group_name_Hall 'P 1'
_cell_length_a 3.9750
_cell_length_b 3.9750
_cell_length_c 3.6030
_cell_angle_alpha 90.00
_cell_angle_beta 90.00
_cell_angle_gamma 90.00
loop_
_atom_site_label
_atom_site_fract_x
_atom_site_fract_y
_atom_site_fract_z
_atom_site_occupancy
Ga1 0.5000 0.5000 0.5000 1
Ir1 0.0000 0.5000 0.0000 1
Ir2 0.5000 0.0000 0.0000 1
Ni1 0.0000 0.0000 0.5000 1
H1 0.0000 0.0000 0.0000 1
# - Volume: 56.9 Å³ per cell

***

No. 2
# PmGaHIr (PBE-GGA, relaxed)
data_PmGaHIr
_symmetry_space_group_name_H-M 'P 1'
_symmetry_Int_Tables_number 1
_symmetry_space_group_name_Hall 'P 1'
_cell_length_a 4.1889
_cell_length_b 4.1889
_cell_length_c 7.4157
_cell_angle_alpha 90.00
_cell_angle_beta 90.00
_cell_angle_gamma 90.00
loop_
_atom_site_label
_atom_site_fract_x
_atom_site_fract_y
_atom_site_fract_z
_atom_site_occupancy
H1 0.0000 0.0000 0.5000 1
H2 0.5000 0.5000 0.5000 1
Ga1 0.5000 0.0000 0.1866 1
Ga2 0.0000 0.5000 0.8134 1
Ir1 0.5000 0.5000 0.0000 1
Ir2 0.0000 0.0000 0.0000 1
Pm1 0.0000 0.5000 0.3362 1
Pm2 0.5000 0.0000 0.6638 1
# - Volume: 130.1 Å³ per cell

***

No. 3
# PmGaHIr2 (PBE-GGA, relaxed)
data_PmGaHIr2
_symmetry_space_group_name_H-M 'P 1'
_symmetry_Int_Tables_number 1
_symmetry_space_group_name_Hall 'P 1'
_cell_length_a 4.0195
_cell_length_b 5.8066
_cell_length_c 7.2107
_cell_angle_alpha 90.00
_cell_angle_beta 90.00
_cell_angle_gamma 110.25
loop_
_atom_site_label
_atom_site_fract_x
_atom_site_fract_y
_atom_site_fract_z
_atom_site_occupancy
H1 0.0000 0.0000 0.0000 1
H2 0.0000 0.0000 0.5000 1
Ga1 0.2817 0.5634 0.2500 1
Ga2 0.7183 0.4366 0.7500 1
Ir1 0.1591 0.3181 0.9486 1
Ir2 0.8409 0.6819 0.0514 1
Ir3 0.1591 0.3181 0.5514 1
Ir4 0.8409 0.6819 0.4486 1
Pm1 0.5616 0.1232 0.2500 1
Pm2 0.4384 0.8768 0.7500 1
# - Volume: 157.9 Å³ per cell

***

No. 4
# PrGaHIr2 (PBE-GGA, relaxed)
data_PrGaHIr2
_symmetry_space_group_name_H-M 'P 1'
_symmetry_Int_Tables_number 1
_symmetry_space_group_name_Hall 'P 1'
_cell_length_a 4.0649
_cell_length_b 5.8588
_cell_length_c 7.2074
_cell_angle_alpha 90.00
_cell_angle_beta 90.00
_cell_angle_gamma 110.30
loop_
_atom_site_label
_atom_site_fract_x
_atom_site_fract_y
_atom_site_fract_z
_atom_site_occupancy
H1 0.0000 0.0000 0.0000 1
H2 0.0000 0.0000 0.5000 1
Ir1 0.1602 0.3203 0.9492 1
Ir2 0.8398 0.6797 0.4492 1
Ir3 0.1602 0.3203 0.5508 1
Ir4 0.8398 0.6797 0.0508 1
Ga1 0.2839 0.5679 0.2500 1
Ga2 0.7161 0.4321 0.7500 1
Pr1 0.4374 0.8747 0.7500 1
Pr2 0.5626 0.1253 0.2500 1
# - Volume: 161.0 Å³ per cell

***

No. 5
# PrGaHIr (PBE-GGA, relaxed)
data_PrGaHIr
_symmetry_space_group_name_H-M 'P 1'
_symmetry_Int_Tables_number 1
_symmetry_space_group_name_Hall 'P 1'
_cell_length_a 4.2336
_cell_length_b 4.2336
_cell_length_c 7.5392
_cell_angle_alpha 90.00
_cell_angle_beta 90.00
_cell_angle_gamma 90.00
loop_
_atom_site_label
_atom_site_fract_x
_atom_site_fract_y
_atom_site_fract_z
_atom_site_occupancy
Ga1 0.0000 0.5000 0.8210 1
Ga2 0.5000 0.0000 0.1790 1
Pr1 0.5000 0.0000 0.6656 1
Pr2 0.0000 0.5000 0.3344 1
Ir1 0.5000 0.5000 0.0000 1
Ir2 0.0000 0.0000 0.0000 1
H1 0.5000 0.5000 0.5000 1
H2 0.0000 0.0000 0.5000 1
# - Volume: 135.1 Å³ per cell

***

No. 6
# PuGaHIr2 (PBE-GGA, relaxed)
data_PuGaHIr2
_symmetry_space_group_name_H-M 'P 1'
_symmetry_Int_Tables_number 1
_symmetry_space_group_name_Hall 'P 1'
_cell_length_a 2.9761
_cell_length_b 6.4070
_cell_length_c 7.8171
_cell_angle_alpha 90.00
_cell_angle_beta 90.00
_cell_angle_gamma 103.43
loop_
_atom_site_label
_atom_site_fract_x
_atom_site_fract_y
_atom_site_fract_z
_atom_site_occupancy
Ga1 0.7518 0.5035 0.7500 1
Ga2 0.2482 0.4965 0.2500 1
Ir1 0.1490 0.2981 0.9662 1
Ir2 0.8510 0.7019 0.0338 1
Ir3 0.1490 0.2981 0.5338 1
Ir4 0.8510 0.7019 0.4662 1
Pu1 0.5164 0.0327 0.2500 1
Pu2 0.4836 0.9673 0.7500 1
H1 0.0000 0.0000 0.0000 1
H2 0.0000 0.0000 0.5000 1
# - Volume: 145.0 Å³ per cell

***

No. 7
# GaH2IrRh (PBE-GGA, relaxed)
data_GaH2IrRh
_symmetry_space_group_name_H-M 'P 1'
_symmetry_Int_Tables_number 1
_symmetry_space_group_name_Hall 'P 1'
_cell_length_a 3.4994
_cell_length_b 5.3766
_cell_length_c 3.4994
_cell_angle_alpha 90.00
_cell_angle_beta 90.00
_cell_angle_gamma 90.00
loop_
_atom_site_label
_atom_site_fract_x
_atom_site_fract_y
_atom_site_fract_z
_atom_site_occupancy
H1 0.5000 0.0000 0.0000 1
H2 0.0000 0.0000 0.5000 1
Ir1 0.5000 0.5000 0.5000 1
Ga1 0.0000 0.0000 0.0000 1
Rh1 0.0000 0.5000 0.0000 1
# - Volume: 65.8 Å³ per cell

***

No. 8
# GaHIr2Rh (PBE-GGA, relaxed)
data_GaHIr2Rh
_symmetry_space_group_name_H-M 'P 1'
_symmetry_Int_Tables_number 1
_symmetry_space_group_name_Hall 'P 1'
_cell_length_a 3.9327
_cell_length_b 3.9327
_cell_length_c 3.9221
_cell_angle_alpha 90.00
_cell_angle_beta 90.00
_cell_angle_gamma 90.00
loop_
_atom_site_label
_atom_site_fract_x
_atom_site_fract_y
_atom_site_fract_z
_atom_site_occupancy
H1 0.0000 0.0000 0.0000 1
Ir1 0.0000 0.5000 0.0000 1
Ir2 0.5000 0.0000 0.0000 1
Ga1 0.5000 0.5000 0.5000 1
Rh1 0.0000 0.0000 0.5000 1
# - Volume: 60.7 Å³ per cell

***

no.,total DFT energy (no corrections) (eV/atom)
1,-6.083
2,-5.677
3,-6.271
4,-6.261
5,-5.664
6,-8.041
7,-4.446
8,-6.364